Entry 1:
VASP calculation (PBE-GGA) on Li2NdPd5 after structural relaxation.

a b c (Å): 3.782 6.421 6.421
angles (deg): 65.64 72.87 72.87
Fractional positions:
Li 0.767 0.733 0.733
Li 0.233 0.267 0.267
Nd 0.000 0.000 0.000
Pd 0.000 0.500 0.500
Pd 0.641 0.567 0.152
Pd 0.359 0.433 0.848
Pd 0.359 0.848 0.433
Pd 0.641 0.152 0.567

Values from the calculation:
- E above lowest polymorph (meV per atom) = 35
- spin magnetization (μB per formula unit) = 0.0
- space-group type = Immm (71)

=====

Entry 2:
VASP calculation (PBE-GGA) on Li6NdPd4 after structural relaxation.

a b c (Å): 6.751 6.751 6.751
angles (deg): 85.78 122.46 122.46
Fractional positions:
Li 0.000 0.889 0.509
Li 0.000 0.509 0.889
Li 0.620 0.111 0.111
Li 0.500 0.000 0.500
Li 0.380 0.491 0.491
Li 0.500 0.500 0.000
Nd 0.000 0.000 0.000
Pd 0.000 0.247 0.609
Pd 0.637 0.391 0.391
Pd 0.000 0.609 0.247
Pd 0.363 0.753 0.753

Values from the calculation:
- spin magnetization (μB per formula unit) = 0.0
- space-group type = I-42m (121)

=====

Entry 3:
VASP calculation (PBE-GGA) on LiNd2Pd5 after structural relaxation.

a b c (Å): 6.042 6.042 5.897
angles (deg): 120.76 120.76 90.00
Fractional positions:
Li 0.213 0.213 0.426
Nd 0.224 0.724 0.447
Nd 0.724 0.224 0.447
Pd 0.722 0.224 0.946
Pd 0.224 0.224 0.946
Pd 0.722 0.722 0.946
Pd 0.224 0.722 0.946
Pd 0.724 0.724 0.448

Values from the calculation:
- spin magnetization (μB per formula unit) = 0.0
- space-group type = I4mm (107)

=====

Entry 4:
VASP calculation (PBE-GGA) on Li2Nd3Pd7 after structural relaxation.

a b c (Å): 5.527 5.527 9.056
angles (deg): 72.23 72.23 60.00
Fractional positions:
Li 0.665 0.665 0.004
Li 0.335 0.335 0.996
Nd 0.000 0.000 0.000
Nd 0.861 0.861 0.418
Nd 0.139 0.139 0.582
Pd 0.500 0.500 0.500
Pd 0.924 0.419 0.239
Pd 0.419 0.924 0.239
Pd 0.419 0.419 0.239
Pd 0.076 0.581 0.761
Pd 0.581 0.581 0.761
Pd 0.581 0.076 0.761

Values from the calculation:
- spin magnetization (μB per formula unit) = 0.0
- space-group type = R-3m (166)

=====

Entry 5:
VASP calculation (PBE-GGA) on Li7Nd3Pd4 after structural relaxation.

a b c (Å): 4.180 8.233 8.825
angles (deg): 74.31 76.30 75.29
Fractional positions:
Li 0.326 0.846 0.502
Li 0.482 0.233 0.804
Li 0.834 0.404 0.929
Li 0.674 0.154 0.498
Li 0.166 0.596 0.071
Li 0.000 0.000 0.000
Li 0.518 0.767 0.196
Nd 0.297 0.175 0.231
Nd 0.703 0.825 0.769
Nd 0.000 0.500 0.500
Pd 0.657 0.432 0.253
Pd 0.343 0.568 0.747
Pd 0.893 0.895 0.318
Pd 0.107 0.105 0.682

Values from the calculation:
- spin magnetization (μB per formula unit) = 0.0
- space-group type = C2/m (12)

=====

Entry 6:
VASP calculation (PBE-GGA) on LiNd2Pd6 after structural relaxation.

a b c (Å): 6.119 6.119 6.117
angles (deg): 59.97 59.97 59.98
Fractional positions:
Li 0.500 0.500 0.500
Nd 0.250 0.250 0.250
Nd 0.750 0.750 0.750
Pd 0.232 0.232 0.768
Pd 0.231 0.768 0.232
Pd 0.769 0.232 0.768
Pd 0.768 0.231 0.232
Pd 0.232 0.769 0.768
Pd 0.768 0.768 0.232

Values from the calculation:
- spin magnetization (μB per formula unit) = 0.0
- space-group type = Fm-3m (225)

=====

Entry 7:
VASP calculation (PBE-GGA) on Li4NdPd after structural relaxation.

a b c (Å): 5.352 5.352 5.352
angles (deg): 60.00 60.00 60.00
Fractional positions:
Nd 0.250 0.250 0.250
Pd 0.000 0.000 0.000
Li 0.628 0.628 0.116
Li 0.628 0.116 0.628
Li 0.628 0.628 0.628
Li 0.116 0.628 0.628

Values from the calculation:
- spin magnetization (μB per formula unit) = 0.0
- space-group type = F-43m (216)

=====

Entry 8:
VASP calculation (PBE-GGA) on LiPmNdPd after structural relaxation.

a b c (Å): 5.176 5.176 5.176
angles (deg): 60.00 60.00 60.00
Fractional positions:
Li 0.000 0.000 0.000
Nd 0.750 0.750 0.750
Pd 0.500 0.500 0.500
Pm 0.250 0.250 0.250

Values from the calculation:
- spin magnetization (μB per formula unit) = 0.0
- space-group type = F-43m (216)

=====

Across the entries above, ΔE_f takes the values -429; -265; -716; -670; -406; -703; -100; -320 meV per atom, respectively.